*A*
An optimized crystal structure of Rb2CrI, computed with GGA-PBE.

```
8
Lattice="9.742 0.000 0.000 0.000 9.742 0.000 4.871 4.871 5.113" Properties=species:S:1:pos:R:3 pbc="T T T"
I 0.000 0.000 0.000
I 9.742 4.871 2.557
Cr 4.871 4.871 0.000
Cr 4.871 9.742 2.557
Rb 7.460 2.436 1.278
Rb 12.178 12.331 3.835
Rb 2.282 7.307 1.278
Rb 7.307 7.153 3.835
```

N(E_F)	0.000	states/eV per atom
symmetry	I-42d (122)


*B*
An optimized crystal structure of Rb2CrI, computed with GGA-PBE.

```
4
Lattice="0.000 4.518 4.518 4.518 0.000 4.518 4.518 4.518 0.000" Properties=species:S:1:pos:R:3 pbc="T T T"
I 4.518 4.518 4.518
Rb 2.259 2.259 2.259
Rb 6.777 6.777 6.777
Cr 0.000 0.000 0.000
```

N(E_F)	0.000	states/eV per atom
symmetry	Fm-3m (225)


Which is the most stable structure? *B* is the most stable.


*A*
An optimized crystal structure of Rb2CrSnI6, computed with GGA-PBE.

```
10
Lattice="-6.553 3.005 -4.424 0.409 -6.695 -5.153 -6.847 -4.823 -1.219" Properties=species:S:1:pos:R:3 pbc="T T T"
Rb -4.755 -6.682 -5.580
Rb -8.236 -1.832 -5.216
I -4.732 0.467 -4.615
I -8.118 -5.248 -7.710
I -1.413 -4.158 -4.962
I -1.608 -0.966 -2.506
I -4.537 -2.725 -7.071
I -4.873 -3.266 -3.085
Cr -3.072 -1.845 -4.788
Sn 0.000 0.000 0.000
```

N(E_F)	0.262	states/eV per atom
symmetry	I4/mmm (139)


*B*
An optimized crystal structure of Rb2CrSnI6, computed with GGA-PBE.

```
20
Lattice="-5.275 6.047 -1.875 -4.693 -1.992 6.780 6.395 7.563 6.648" Properties=species:S:1:pos:R:3 pbc="T T T"
Cr -2.347 -0.996 3.390
Cr 0.560 6.805 2.387
I -1.345 5.418 0.701
I 2.180 5.196 8.301
I 0.939 11.011 7.172
I -4.513 7.175 7.578
I -2.026 3.971 7.383
I -5.753 6.423 3.252
I -4.512 0.607 4.381
I -1.806 0.971 1.347
I 0.940 4.444 3.975
I -1.548 7.648 4.170
I -1.768 10.648 10.206
I -2.228 6.201 10.852
Sn -2.638 3.024 -0.938
Sn 0.851 2.786 6.714
Rb -0.659 11.486 3.606
Rb -2.957 3.943 3.730
Rb -0.616 7.676 7.823
Rb -2.914 0.133 7.948
```

N(E_F)	0.360	states/eV per atom
symmetry	P2_1/c (14)


Which is the most stable structure? *B* is the most stable.